No. 1
# TaInPd | the Alexandria database | PBE | optimized geometry
# * M_tot: 0.00 μB/f.u.
# * E_form: -182 meV per atom
# * VASP energy: -20.3 eV/f.u.
# * space-group type: No. 107
data_TaInPd
_chemical_formula_sum 'Ta1 In1 Pd1'
_space_group_name_H-M_alt 'P 1'
_space_group_IT_number 1
_cell_length_a 3.0093
_cell_length_b 3.0093
_cell_length_c 6.3260
_cell_angle_alpha 103.76
_cell_angle_beta 103.76
_cell_angle_gamma 90.00
loop_
_space_group_symop_operation_xyz
'x,y,z'
loop_
_atom_site_label
_atom_site_fract_x
_atom_site_fract_y
_atom_site_fract_z
Ta1 0.0092 0.0092 0.0184
Pd1 0.6626 0.6626 0.3252
In1 0.3282 0.3282 0.6564

No. 2
# TaIn3Pd12 | the Alexandria database | PBE | optimized geometry
# * M_tot: 0.00 μB/f.u.
# * E_form: -481 meV per atom
# * VASP energy: -90.1 eV/f.u.
# * space-group type: No. 123
data_TaIn3Pd12
_chemical_formula_sum 'Ta1 In3 Pd12'
_space_group_name_H-M_alt 'P 1'
_space_group_IT_number 1
_cell_length_a 4.0065
_cell_length_b 4.0065
_cell_length_c 16.1951
_cell_angle_alpha 90.00
_cell_angle_beta 90.00
_cell_angle_gamma 90.00
loop_
_space_group_symop_operation_xyz
'x,y,z'
loop_
_atom_site_label
_atom_site_fract_x
_atom_site_fract_y
_atom_site_fract_z
Ta1 0.0000 0.0000 0.0000
In1 0.0000 0.0000 0.2502
In2 0.0000 0.0000 0.5000
In3 0.0000 0.0000 0.7498
Pd1 0.5000 0.5000 0.0000
Pd2 0.5000 0.5000 0.2449
Pd3 0.5000 0.5000 0.5000
Pd4 0.5000 0.5000 0.7551
Pd5 0.5000 0.0000 0.1173
Pd6 0.5000 0.0000 0.3734
Pd7 0.5000 0.0000 0.6266
Pd8 0.5000 0.0000 0.8827
Pd9 0.0000 0.5000 0.1173
Pd10 0.0000 0.5000 0.3734
Pd11 0.0000 0.5000 0.6266
Pd12 0.0000 0.5000 0.8827

No. 3
# Ta3InPd | the Alexandria database | PBE | optimized geometry
# * M_tot: 0.00 μB/f.u.
# * E_form: 1201 meV per atom
# * VASP energy: -37.5 eV/f.u.
# * space-group type: No. 221
data_Ta3InPd
_chemical_formula_sum 'Ta3 In1 Pd1'
_space_group_name_H-M_alt 'P 1'
_space_group_IT_number 1
_cell_length_a 4.8495
_cell_length_b 4.8495
_cell_length_c 4.8495
_cell_angle_alpha 90.00
_cell_angle_beta 90.00
_cell_angle_gamma 90.00
loop_
_space_group_symop_operation_xyz
'x,y,z'
loop_
_atom_site_label
_atom_site_fract_x
_atom_site_fract_y
_atom_site_fract_z
In1 0.5000 0.5000 0.5000
Pd1 0.0000 0.0000 0.0000
Ta1 0.0000 0.5000 0.0000
Ta2 0.0000 0.0000 0.5000
Ta3 0.5000 0.0000 0.0000

No. 4
# TaIn2Pd | the Alexandria database | PBE | optimized geometry
# * M_tot: 0.00 μB/f.u.
# * E_form: 341 meV per atom
# * VASP energy: -21.2 eV/f.u.
# * excess energy over the best structure of this formula in the dataset: 156 meV/atom
# * space-group type: No. 122
data_TaIn2Pd
_chemical_formula_sum 'Ta2 In4 Pd2'
_space_group_name_H-M_alt 'P 1'
_space_group_IT_number 1
_cell_length_a 7.5519
_cell_length_b 7.5519
_cell_length_c 6.0810
_cell_angle_alpha 51.62
_cell_angle_beta 51.62
_cell_angle_gamma 90.00
loop_
_space_group_symop_operation_xyz
'x,y,z'
loop_
_atom_site_label
_atom_site_fract_x
_atom_site_fract_y
_atom_site_fract_z
In1 0.6009 0.1250 0.2500
In2 0.1491 0.6250 0.2500
In3 0.3750 0.3991 0.7500
In4 0.8750 0.8509 0.7500
Pd1 0.5000 0.5000 0.0000
Pd2 0.2500 0.7500 0.5000
Ta1 0.0000 0.0000 0.0000
Ta2 0.7500 0.2500 0.5000

No. 5
# TaIn2Pd | the Alexandria database | PBE | optimized geometry
# * M_tot: 1.06 μB/f.u.
# * E_form: 184 meV per atom
# * VASP energy: -21.8 eV/f.u.
# * excess energy over the best structure of this formula in the dataset: 0 meV/atom
# * space-group type: No. 225
data_TaIn2Pd
_chemical_formula_sum 'Ta1 In2 Pd1'
_space_group_name_H-M_alt 'P 1'
_space_group_IT_number 1
_cell_length_a 4.7720
_cell_length_b 4.7720
_cell_length_c 4.7720
_cell_angle_alpha 60.00
_cell_angle_beta 60.00
_cell_angle_gamma 60.00
loop_
_space_group_symop_operation_xyz
'x,y,z'
loop_
_atom_site_label
_atom_site_fract_x
_atom_site_fract_y
_atom_site_fract_z
In1 0.2500 0.2500 0.2500
In2 0.7500 0.7500 0.7500
Pd1 0.0000 0.0000 0.0000
Ta1 0.5000 0.5000 0.5000

No. 6
# TaIn3Pd | the Alexandria database | PBE | optimized geometry
# * M_tot: 0.00 μB/f.u.
# * E_form: 963 meV per atom
# * VASP energy: -20.4 eV/f.u.
# * excess energy over the best structure of this formula in the dataset: 182 meV/atom
# * space-group type: No. 221
data_TaIn3Pd
_chemical_formula_sum 'Ta1 In3 Pd1'
_space_group_name_H-M_alt 'P 1'
_space_group_IT_number 1
_cell_length_a 5.3509
_cell_length_b 5.3509
_cell_length_c 5.3509
_cell_angle_alpha 90.00
_cell_angle_beta 90.00
_cell_angle_gamma 90.00
loop_
_space_group_symop_operation_xyz
'x,y,z'
loop_
_atom_site_label
_atom_site_fract_x
_atom_site_fract_y
_atom_site_fract_z
In1 0.0000 0.5000 0.0000
In2 0.0000 0.0000 0.5000
In3 0.5000 0.0000 0.0000
Pd1 0.5000 0.5000 0.5000
Ta1 0.0000 0.0000 0.0000

No. 7
# TaInPd2 | the Alexandria database | PBE | optimized geometry
# * M_tot: 0.00 μB/f.u.
# * E_form: -356 meV per atom
# * VASP energy: -26.4 eV/f.u.
# * space-group type: No. 123
data_TaInPd2
_chemical_formula_sum 'Ta1 In1 Pd2'
_space_group_name_H-M_alt 'P 1'
_space_group_IT_number 1
_cell_length_a 2.9448
_cell_length_b 2.9448
_cell_length_c 7.9138
_cell_angle_alpha 90.00
_cell_angle_beta 90.00
_cell_angle_gamma 90.00
loop_
_space_group_symop_operation_xyz
'x,y,z'
loop_
_atom_site_label
_atom_site_fract_x
_atom_site_fract_y
_atom_site_fract_z
In1 0.5000 0.5000 0.5000
Pd1 0.0000 0.0000 0.7568
Pd2 0.0000 0.0000 0.2432
Ta1 0.5000 0.5000 0.0000

No. 8
# TaInPd2 | the Alexandria database | PBE | optimized geometry
# * M_tot: 0.00 μB/f.u.
# * E_form: 153 meV per atom
# * VASP energy: -24.4 eV/f.u.
# * space-group type: No. 122
data_TaInPd2
_chemical_formula_sum 'Ta2 In2 Pd4'
_space_group_name_H-M_alt 'P 1'
_space_group_IT_number 1
_cell_length_a 7.3257
_cell_length_b 7.3257
_cell_length_c 5.9180
_cell_angle_alpha 51.76
_cell_angle_beta 51.76
_cell_angle_gamma 90.00
loop_
_space_group_symop_operation_xyz
'x,y,z'
loop_
_atom_site_label
_atom_site_fract_x
_atom_site_fract_y
_atom_site_fract_z
In1 0.5000 0.5000 0.0000
In2 0.2500 0.7500 0.5000
Pd1 0.6448 0.1250 0.2500
Pd2 0.1052 0.6250 0.2500
Pd3 0.3750 0.3552 0.7500
Pd4 0.8750 0.8948 0.7500
Ta1 0.0000 0.0000 0.0000
Ta2 0.7500 0.2500 0.5000

No. 9
# Tb2InPd9 | the Alexandria database | PBE | optimized geometry
# * M_tot: 0.00 μB/f.u.
# * E_form: -724 meV per atom
# * VASP energy: -67.4 eV/f.u.
# * space-group type: No. 123
data_Tb2InPd9
_chemical_formula_sum 'Tb2 In1 Pd9'
_space_group_name_H-M_alt 'P 1'
_space_group_IT_number 1
_cell_length_a 4.1174
_cell_length_b 4.1174
_cell_length_c 12.2253
_cell_angle_alpha 90.00
_cell_angle_beta 90.00
_cell_angle_gamma 90.00
loop_
_space_group_symop_operation_xyz
'x,y,z'
loop_
_atom_site_label
_atom_site_fract_x
_atom_site_fract_y
_atom_site_fract_z
Tb1 0.0000 0.0000 0.3292
Tb2 0.0000 0.0000 0.6708
In1 0.0000 0.0000 0.0000
Pd1 0.5000 0.5000 0.0000
Pd2 0.5000 0.5000 0.3310
Pd3 0.5000 0.5000 0.6690
Pd4 0.5000 0.0000 0.1605
Pd5 0.5000 0.0000 0.5000
Pd6 0.5000 0.0000 0.8395
Pd7 0.0000 0.5000 0.1605
Pd8 0.0000 0.5000 0.5000
Pd9 0.0000 0.5000 0.8395

No. 10
# TbInPd6 | the Alexandria database | PBE | optimized geometry
# * M_tot: 0.00 μB/f.u.
# * E_form: -343 meV per atom
# * VASP energy: -41.3 eV/f.u.
# * excess energy over the best structure of this formula in the dataset: 309 meV/atom
# * space-group type: No. 12
data_TbInPd6
_chemical_formula_sum 'Tb1 In1 Pd6'
_space_group_name_H-M_alt 'P 1'
_space_group_IT_number 1
_cell_length_a 4.9631
_cell_length_b 4.9631
_cell_length_c 7.3037
_cell_angle_alpha 74.92
_cell_angle_beta 74.92
_cell_angle_gamma 66.00
loop_
_space_group_symop_operation_xyz
'x,y,z'
loop_
_atom_site_label
_atom_site_fract_x
_atom_site_fract_y
_atom_site_fract_z
Tb1 0.5000 0.5000 0.5000
In1 0.0000 0.0000 0.0000
Pd1 0.0575 0.5409 0.2979
Pd2 0.5409 0.0575 0.2979
Pd3 0.4591 0.9425 0.7021
Pd4 0.9425 0.4591 0.7021
Pd5 0.3580 0.3580 0.9374
Pd6 0.6420 0.6420 0.0626

No. 11
# Tb12InPd6 | the Alexandria database | PBE | optimized geometry
# * M_tot: 0.00 μB/f.u.
# * E_form: -613 meV per atom
# * VASP energy: -101.1 eV/f.u.
# * excess energy over the best structure of this formula in the dataset: 0 meV/atom
# * space-group type: No. 204
data_Tb12InPd6
_chemical_formula_sum 'Tb12 In1 Pd6'
_space_group_name_H-M_alt 'P 1'
_space_group_IT_number 1
_cell_length_a 8.6687
_cell_length_b 8.6687
_cell_length_c 8.6687
_cell_angle_alpha 109.47
_cell_angle_beta 109.47
_cell_angle_gamma 109.47
loop_
_space_group_symop_operation_xyz
'x,y,z'
loop_
_atom_site_label
_atom_site_fract_x
_atom_site_fract_y
_atom_site_fract_z
Tb1 0.2972 0.1136 0.8164
Tb2 0.2972 0.4809 0.1836
Tb3 0.7028 0.5191 0.8164
Tb4 0.7028 0.8864 0.1836
Tb5 0.1136 0.8164 0.2972
Tb6 0.4809 0.1836 0.2972
Tb7 0.5191 0.8164 0.7028
Tb8 0.8864 0.1836 0.7028
Tb9 0.8164 0.2972 0.1136
Tb10 0.1836 0.2972 0.4809
Tb11 0.8164 0.7028 0.5191
Tb12 0.1836 0.7028 0.8864
In1 0.0000 0.0000 0.0000
Pd1 0.3638 0.5000 0.8638
Pd2 0.6362 0.5000 0.1362
Pd3 0.5000 0.8638 0.3638
Pd4 0.5000 0.1362 0.6362
Pd5 0.8638 0.3638 0.5000
Pd6 0.1362 0.6362 0.5000

No. 12
# Tb2InPd3 | the Alexandria database | PBE | optimized geometry
# * M_tot: 0.00 μB/f.u.
# * E_form: -630 meV per atom
# * VASP energy: -31.4 eV/f.u.
# * space-group type: No. 71
data_Tb2InPd3
_chemical_formula_sum 'Tb2 In1 Pd3'
_space_group_name_H-M_alt 'P 1'
_space_group_IT_number 1
_cell_length_a 4.6365
_cell_length_b 5.5377
_cell_length_c 6.3588
_cell_angle_alpha 115.81
_cell_angle_beta 111.38
_cell_angle_gamma 90.00
loop_
_space_group_symop_operation_xyz
'x,y,z'
loop_
_atom_site_label
_atom_site_fract_x
_atom_site_fract_y
_atom_site_fract_z
Tb1 0.6839 0.1839 0.3677
Tb2 0.3161 0.8161 0.6323
In1 0.0000 0.5000 0.0000
Pd1 0.3637 0.3637 0.7274
Pd2 0.0000 0.0000 0.0000
Pd3 0.6363 0.6363 0.2726

| no. | DOS(E_F) (states/eV per atom) |
| --- | --- |
| 1 | 0.271 |
| 2 | 0.658 |
| 3 | 0.923 |
| 4 | 1.038 |
| 5 | 0.899 |
| 6 | 0.855 |
| 7 | 0.221 |
| 8 | 1.000 |
| 9 | 0.724 |
| 10 | 0.464 |
| 11 | 0.814 |
| 12 | 0.677 |